Below is crystalline La3Ho4Tl at its relaxed geometry, with properties calculated at the PBE level.

Calculated values
The calculation puts the formation energy from the elements at -2.3 kJ/mol of atoms. As for the total magnetic moment: 0.0 Bohr magnetons per cell.

Cell: 10.206 7.034 7.118 Å, 90.00 90.00 90.00°
Space group Pmn2_1 (No. 31)
Asymmetric unit:
La 0.000 0.001 0.000
La 0.245 0.748 0.749
Ho 0.000 0.009 0.499
Ho 0.000 0.496 0.999
Ho 0.248 0.742 0.250
Tl 0.000 0.499 0.497

Below is crystalline La3Ho4Tl4 at its relaxed geometry, with properties calculated at the PBE level.

Calculated values
The calculation puts the formation energy from the elements at -18.6 kJ/mol of atoms. As for the total magnetic moment: 0.0 Bohr magnetons per cell.

Cell: 3.776 5.308 34.256 Å, 90.00 90.00 90.00°
Space group Immm (No. 71)
Asymmetric unit:
La 0.000 0.000 0.000
La 0.000 0.500 0.142
Ho 0.000 0.000 0.264
Ho 0.000 0.500 0.407
Tl 0.000 0.000 0.453
Tl 0.000 0.500 0.316

Below is crystalline La2Ho3Tl4 at its relaxed geometry, with properties calculated at the PBE level.

Calculated values
The calculation puts the formation energy from the elements at -28.7 kJ/mol of atoms. As for the energy above the most stable polymorph in this dataset: 0.0000 eV/atom. As for the total magnetic moment: 0.0 Bohr magnetons per cell.

Cell: 9.260 5.353 10.923 Å, 90.00 90.09 90.00°
Space group C2/m (No. 12)
Asymmetric unit:
La 0.167 0.000 0.279
Ho 0.000 0.500 0.500
Ho 0.167 0.000 0.927
Tl 0.000 0.500 0.147
Tl 0.166 0.000 0.602

Below is crystalline LaHoTl at its relaxed geometry, with properties calculated at the PBE level.

Calculated values
The calculation puts the formation energy from the elements at -26.5 kJ/mol of atoms. As for the energy above the most stable polymorph in this dataset: 0.0000 eV/atom. As for the total magnetic moment: 2.4 Bohr magnetons per cell.

Cell: 8.4437 8.4437 4.6612 Å, 90.00 90.00 120.00°
Space group P-62m (No. 189)
Asymmetric unit:
La 0.0000 0.6014 0.0000
Ho 0.0000 0.2630 0.5000
Tl 0.0000 0.0000 0.0000
Tl 0.3333 0.6667 0.5000

Below is crystalline La3Ho2Tl6 at its relaxed geometry, with properties calculated at the PBE level.

Calculated values
The calculation puts the formation energy from the elements at -16.5 kJ/mol of atoms. As for the total magnetic moment: 0.0 Bohr magnetons per cell.

Cell: 4.940 4.940 28.926 Å, 90.00 90.00 90.00°
Space group I4/mmm (No. 139)
Asymmetric unit:
La 0.000 0.000 0.000
La 0.000 0.000 0.197
Ho 0.000 0.000 0.445
Tl 0.000 0.000 0.309
Tl 0.000 0.500 0.115

Below is crystalline LaHo8Tl6 at its relaxed geometry, with properties calculated at the PBE level.

Calculated values
The calculation puts the formation energy from the elements at -12.3 kJ/mol of atoms. As for the total magnetic moment: 0.0 Bohr magnetons per cell.

Cell: 9.1483 9.1483 19.4252 Å, 90.00 90.00 120.00°
Space group R-3 (No. 148, hexagonal axes)
Asymmetric unit:
La 0.0000 0.0000 0.0000
Ho 0.0000 0.0000 0.3320
Ho 0.0019 0.3305 0.1097
Tl 0.9999 0.3430 0.9354

Below is crystalline La2Ho6Tl at its relaxed geometry, with properties calculated at the PBE level.

Calculated values
The calculation puts the formation energy from the elements at 1.2 kJ/mol of atoms. As for the total magnetic moment: 0.0 Bohr magnetons per cell.

Cell: 9.749 10.379 5.589 Å, 90.00 90.00 90.00°
Space group Pnnm (No. 58)
Asymmetric unit:
La 0.187 0.247 0.000
Ho 0.015 0.176 0.500
Ho 0.142 0.600 0.000
Ho 0.178 0.922 0.000
Tl 0.000 0.500 0.500

Below is crystalline La3HoTl at its relaxed geometry, with properties calculated at the PBE level.

Calculated values
The calculation puts the formation energy from the elements at -10.0 kJ/mol of atoms. As for the energy above the most stable polymorph in this dataset: 0.0000 eV/atom. As for the total magnetic moment: 0.0 Bohr magnetons per cell.

Cell: 5.963 18.720 5.918 Å, 90.00 90.00 90.00°
Space group Cmcm (No. 63)
Asymmetric unit:
La 0.000 0.058 0.250
La 0.000 0.249 0.250
La 0.000 0.442 0.250
Ho 0.000 0.352 0.750
Tl 0.000 0.153 0.750

Below is crystalline La12HoTl3 at its relaxed geometry, with properties calculated at the PBE level.

Calculated values
The calculation puts the formation energy from the elements at -16.6 kJ/mol of atoms. As for the total magnetic moment: 0.0 Bohr magnetons per cell.

Cell: 5.097 5.097 20.640 Å, 90.00 90.00 90.00°
Space group P4/mmm (No. 123)
Asymmetric unit:
La 0.000 0.000 0.000
La 0.000 0.000 0.247
La 0.000 0.000 0.500
La 0.000 0.500 0.123
La 0.000 0.500 0.371
Ho 0.500 0.500 0.500
Tl 0.500 0.500 0.000
Tl 0.500 0.500 0.245

Below is crystalline La2Ho3Tl4 at its relaxed geometry, with properties calculated at the PBE level.

Calculated values
The calculation puts the formation energy from the elements at -26.8 kJ/mol of atoms. As for the energy above the most stable polymorph in this dataset: 0.0198 eV/atom. As for the total magnetic moment: 0.0 Bohr magnetons per cell.

Cell: 7.192 16.976 9.103 Å, 90.00 90.00 90.00°
Space group Cmce (No. 64)
Asymmetric unit:
La 0.000 0.109 0.078
Ho 0.000 0.000 0.500
Ho 0.250 0.217 0.750
Tl 0.000 0.183 0.457
Tl 0.250 0.037 0.750